{"formula": "Nb2Ag2RhSe6", "functional": "GGA-PBE", "state": "optimized geometry", "lattice_angstrom": [[2.988, -5.532, 0.000], [2.988, 5.532, 0.000], [-1.667, 0.000, 7.343]], "species": ["Nb", "Nb", "Ag", "Ag", "Rh", "Se", "Se", "Se", "Se", "Se", "Se"], "fractional_positions": [[0.132, 0.868, 0.000], [0.868, 0.132, 0.000], [0.302, 0.698, 0.500], [0.698, 0.302, 0.500], [0.500, 0.500, 0.000], [0.116, 0.465, 0.798], [0.256, 0.256, 0.245], [0.465, 0.116, 0.798], [0.535, 0.884, 0.202], [0.744, 0.744, 0.755], [0.884, 0.535, 0.202]], "final_energy_ev_per_atom": -5.356, "raw_formation_energy_ev_per_atom": -0.4378}

{"formula": "Nb2SiAgRh", "functional": "GGA-PBE", "state": "optimized geometry", "lattice_angstrom": [[4.876, 0.000, 0.000], [0.000, 4.876, 0.000], [0.000, 0.000, 4.424]], "species": ["Nb", "Nb", "Si", "Ag", "Rh"], "fractional_positions": [[0.000, 0.500, 0.000], [0.500, 0.000, 0.000], [0.000, 0.000, 0.500], [0.500, 0.500, 0.500], [0.000, 0.000, 0.000]], "final_energy_ev_per_atom": -6.360, "raw_formation_energy_ev_per_atom": 0.7933}

{"formula": "NbAgSn2Rh", "functional": "GGA-PBE", "state": "optimized geometry", "lattice_angstrom": [[5.036, 0.000, 0.000], [0.000, 5.036, 0.000], [0.000, 0.000, 4.906]], "species": ["Nb", "Ag", "Sn", "Sn", "Rh"], "fractional_positions": [[0.000, 0.000, 0.000], [0.500, 0.500, 0.000], [0.000, 0.500, 0.500], [0.500, 0.000, 0.500], [0.000, 0.000, 0.500]], "final_energy_ev_per_atom": -5.065, "e_form_ev_per_atom": 0.59}

{"formula": "TiNbAg2Rh", "functional": "GGA-PBE", "state": "optimized geometry", "lattice_angstrom": [[5.043, 0.000, 0.000], [0.000, 5.043, 0.000], [0.000, 0.000, 4.593]], "species": ["Ti", "Nb", "Ag", "Ag", "Rh"], "fractional_positions": [[0.000, 0.000, 0.000], [0.500, 0.500, 0.500], [0.000, 0.500, 0.500], [0.500, 0.000, 0.500], [0.500, 0.500, 0.000]], "final_energy_ev_per_atom": -4.886, "e_form_ev_per_atom": 1.32}

{"formula": "NbAgRu3", "functional": "GGA-PBE", "state": "optimized geometry", "lattice_angstrom": [[4.721, 0.000, 0.000], [0.000, 4.721, 0.000], [0.000, 0.000, 4.721]], "species": ["Nb", "Ag", "Ru", "Ru", "Ru"], "fractional_positions": [[0.000, 0.000, 0.000], [0.500, 0.500, 0.500], [0.000, 0.000, 0.500], [0.000, 0.500, 0.000], [0.500, 0.000, 0.000]], "final_energy_ev_per_atom": -6.623, "e_form_ev_per_atom": 1.53}

{"formula": "NbAgRu2", "functional": "GGA-PBE", "state": "optimized geometry", "lattice_angstrom": [[6.325, 0.000, 0.000], [0.000, 6.325, 0.000], [0.000, 0.000, 6.325]], "species": ["Nb", "Nb", "Nb", "Nb", "Ag", "Ag", "Ag", "Ag", "Ru", "Ru", "Ru", "Ru", "Ru", "Ru", "Ru", "Ru"], "fractional_positions": [[0.000, 0.000, 0.000], [0.000, 0.500, 0.500], [0.500, 0.000, 0.500], [0.500, 0.500, 0.000], [0.000, 0.000, 0.500], [0.000, 0.500, 0.000], [0.500, 0.000, 0.000], [0.500, 0.500, 0.500], [0.250, 0.250, 0.250], [0.250, 0.250, 0.750], [0.250, 0.750, 0.250], [0.250, 0.750, 0.750], [0.750, 0.250, 0.250], [0.750, 0.250, 0.750], [0.750, 0.750, 0.250], [0.750, 0.750, 0.750]], "final_energy_ev_per_atom": -7.666, "e_form_ev_per_atom": 0.20}

Number 1: Fermi-level density of states 5.3 states/eV/cell. Number 2: Fermi-level density of states 4.1 states/eV/cell. Number 3: Fermi-level density of states 5.1 states/eV/cell. Number 4: Fermi-level density of states 8.2 states/eV/cell. Number 5: Fermi-level density of states 4.4 states/eV/cell. Number 6: Fermi-level density of states 24.8 states/eV/cell.